Model P:
DFT (GGA+U) results for an optimized crystal structure of FeCu3F.

Cell lengths 4.537, 4.537, 4.537 Å; angles 90.00, 90.00, 90.00 degrees
Element x y z (fractional)
1 Fe 0.000 0.000 0.000
2 Cu 0.000 0.000 0.500
3 Cu 0.000 0.500 0.000
4 Cu 0.500 0.000 0.000
5 F 0.500 0.500 0.500

Values from the calculation:
Density of states at the Fermi level, states/eV per cell: 2.24
SG: Pm-3m (221)



Model Q:
DFT (GGA+U) results for an optimized crystal structure of FeCu3F.

Cell lengths 4.126, 4.126, 4.126 Å; angles 90.00, 90.00, 90.00 degrees
Element x y z (fractional)
1 Fe 0.000 0.000 0.000
2 Cu 0.000 0.500 0.500
3 Cu 0.500 0.000 0.500
4 Cu 0.500 0.500 0.000
5 F 0.500 0.500 0.500

Values from the calculation:
Density of states at the Fermi level, states/eV per cell: 7.66
SG: Pm-3m (221)



Tell me which of them is the most stable. Sure, it is model Q.



Model P:
DFT (GGA+U) results for an optimized crystal structure of FeCuF3.

Cell lengths 4.032, 4.032, 4.032 Å; angles 90.00, 90.00, 90.00 degrees
Element x y z (fractional)
1 Fe 0.000 0.000 0.000
2 Cu 0.500 0.500 0.500
3 F 0.000 0.000 0.500
4 F 0.000 0.500 0.000
5 F 0.500 0.000 0.000

Values from the calculation:
Density of states at the Fermi level, states/eV per cell: 3.78
SG: Pm-3m (221)



Model Q:
DFT (GGA+U) results for an optimized crystal structure of FeCuF3.

Cell lengths 4.004, 4.004, 4.004 Å; angles 90.00, 90.00, 90.00 degrees
Element x y z (fractional)
1 Fe 0.000 0.000 0.000
2 Cu 0.500 0.500 0.500
3 F 0.000 0.500 0.500
4 F 0.500 0.000 0.500
5 F 0.500 0.500 0.000

Values from the calculation:
Density of states at the Fermi level, states/eV per cell: 5.68
SG: Pm-3m (221)



Tell me which of them is the most stable. Sure, it is model P.



Model P:
DFT (GGA+U) results for an optimized crystal structure of Fe2CuF.

Cell lengths 6.334, 6.334, 5.825 Å; angles 90.00, 90.00, 90.00 degrees
Element x y z (fractional)
1 Fe 0.208 0.250 0.125
2 Fe 0.250 0.708 0.375
3 Fe 0.250 0.792 0.875
4 Fe 0.292 0.250 0.625
5 Fe 0.708 0.750 0.625
6 Fe 0.750 0.208 0.875
7 Fe 0.750 0.292 0.375
8 Fe 0.792 0.750 0.125
9 Cu 0.000 0.000 0.500
10 Cu 0.000 0.500 0.750
11 Cu 0.500 0.000 0.250
12 Cu 0.500 0.500 0.000
13 F 0.000 0.000 0.000
14 F 0.000 0.500 0.250
15 F 0.500 0.000 0.750
16 F 0.500 0.500 0.500

Values from the calculation:
Density of states at the Fermi level, states/eV per cell: 7.66
SG: I-42d (122)



Model Q:
DFT (GGA+U) results for an optimized crystal structure of Fe2CuF.

Cell lengths 5.970, 5.970, 5.970 Å; angles 90.00, 90.00, 90.00 degrees
Element x y z (fractional)
1 Fe 0.250 0.250 0.250
2 Fe 0.250 0.250 0.750
3 Fe 0.250 0.750 0.250
4 Fe 0.250 0.750 0.750
5 Fe 0.750 0.250 0.250
6 Fe 0.750 0.250 0.750
7 Fe 0.750 0.750 0.250
8 Fe 0.750 0.750 0.750
9 Cu 0.000 0.000 0.000
10 Cu 0.000 0.500 0.500
11 Cu 0.500 0.000 0.500
12 Cu 0.500 0.500 0.000
13 F 0.000 0.000 0.500
14 F 0.000 0.500 0.000
15 F 0.500 0.000 0.000
16 F 0.500 0.500 0.500

Values from the calculation:
Density of states at the Fermi level, states/eV per cell: 9.07
SG: Fm-3m (225)



Tell me which of them is the most stable. Sure, it is model P.